Compound: LaTiMo2W
Source: Alexandria
Functional: meta-GGA SCAN
Structure: PBEsol geometry Values from VASP.

The structure in Quantum ESPRESSO input format:
```
&SYSTEM
  ibrav = 0, nat = 5, ntyp = 4
/
ATOMIC_SPECIES
Mo 95.94 Mo.upf
W 183.84 W.upf
La 138.91 La.upf
Ti 47.87 Ti.upf
CELL_PARAMETERS angstrom
-3.358 3.006 1.458
-3.189 -3.394 -0.346
0.825 -1.227 4.429
ATOMIC_POSITIONS crystal
Mo 0.000 0.000 0.500
Mo 0.000 0.500 0.000
W 0.500 0.000 0.000
La 0.500 0.500 0.500
Ti 0.000 0.000 0.000
```

Values from the calculation:
Total magnetic moment = 0.315 μB per atom
Energy relative to the elements = 6.1 eV/f.u.
Density of states at the Fermi level = 0.919 states/eV/atom
Density = 9.044 g/cm3
Raw total energy = -38.491 eV/atom